#w
BaSrPt | OQMD via LeMat-Bulk | PBE-GGA | relaxed; crystal system = cubic
1.0
2.337 -0.293 4.652
-1.634 3.009 3.932
-2.505 -2.130 4.046
Ba Sr Pt
1 1 1
Direct
0.000 0.000 0.000 Ba
0.750 0.750 0.750 Sr
0.250 0.250 0.250 Pt



#x
BaSrPt | OQMD via LeMat-Bulk | PBE-GGA | relaxed; crystal system = cubic
1.0
0.000 3.782 3.782
3.782 0.000 3.782
3.782 3.782 0.000
Ba Sr Pt
1 1 1
Direct
0.250 0.250 0.250 Ba
0.750 0.750 0.750 Sr
0.000 0.000 0.000 Pt



In kJ/mol of atoms, relative to the most stable structure: #w 66.5; #x 0.0.



#w
BaPu | OQMD via LeMat-Bulk | PBE-GGA | relaxed; crystal system = cubic
1.0
-0.333 -4.960 1.585
-4.548 -2.539 -0.313
-0.620 -3.821 -3.499
Pu Ba
1 1
Direct
0.250 0.250 0.250 Pu
0.000 0.000 0.000 Ba



#x
BaPu | OQMD via LeMat-Bulk | PBE-GGA | relaxed; crystal system = hexagonal
1.0
-4.607 2.437 -1.202
0.568 -5.241 -0.903
-3.053 -1.739 8.173
Pu Ba
2 2
Direct
0.000 0.000 0.372 Pu
0.333 0.667 0.872 Pu
0.333 0.667 0.503 Ba
0.000 0.000 0.003 Ba



In kJ/mol of atoms, relative to the most stable structure: #w 2.9; #x 0.0.



#w
BaPuRe | OQMD via LeMat-Bulk | PBE-GGA | relaxed; crystal system = cubic
1.0
2.618 -4.153 0.912
0.183 -1.871 4.626
-2.372 -4.263 1.065
Ba Re Pu
1 1 1
Direct
0.750 0.750 0.750 Ba
0.000 0.000 0.000 Re
0.250 0.250 0.250 Pu



#x
BaPuRe | OQMD via LeMat-Bulk | PBE-GGA | relaxed; crystal system = cubic
1.0
3.895 -0.373 2.565
0.211 1.980 4.233
0.027 -2.678 3.836
Ba Re Pu
1 1 1
Direct
0.000 0.000 0.000 Ba
0.750 0.750 0.750 Re
0.250 0.250 0.250 Pu



In kJ/mol of atoms, relative to the most stable structure: #w 0.0; #x 143.3.



#w
RbBaTbS3 | OQMD via LeMat-Bulk | PBE-GGA | relaxed; crystal system = orthorhombic
1.0
12.877 0.000 0.000
0.000 4.178 0.000
0.000 0.000 13.594
Tb S Ba Rb
4 12 4 4
Direct
0.396 0.250 0.243 Tb
0.604 0.750 0.757 Tb
0.104 0.750 0.743 Tb
0.896 0.250 0.257 Tb
0.867 0.750 0.128 S
0.099 0.250 0.256 S
0.633 0.250 0.628 S
0.120 0.250 0.601 S
0.880 0.750 0.399 S
0.380 0.750 0.101 S
0.133 0.250 0.872 S
0.367 0.750 0.372 S
0.401 0.750 0.756 S
0.599 0.250 0.244 S
0.620 0.250 0.899 S
0.901 0.750 0.744 S
0.369 0.250 0.918 Ba
0.869 0.250 0.582 Ba
0.131 0.750 0.418 Ba
0.631 0.750 0.082 Ba
0.880 0.250 0.926 Rb
0.380 0.250 0.574 Rb
0.620 0.750 0.426 Rb
0.120 0.750 0.074 Rb



#x
RbBaTbS3 | OQMD via LeMat-Bulk | PBE-GGA | relaxed; crystal system = orthorhombic
1.0
-2.417 6.751 -7.117
1.921 -9.193 3.723
-11.558 -1.342 2.653
S Tb Rb Ba
6 2 2 2
Direct
0.092 0.908 0.997 S
0.498 0.502 0.250 S
0.502 0.498 0.750 S
0.908 0.092 0.497 S
0.908 0.092 0.003 S
0.092 0.908 0.503 S
0.500 0.500 0.000 Tb
0.500 0.500 0.500 Tb
0.126 0.874 0.250 Rb
0.874 0.126 0.750 Rb
0.108 0.892 0.750 Ba
0.892 0.108 0.250 Ba



In kJ/mol of atoms, relative to the most stable structure: #w 0.0; #x 20.2.